First-principles (meta-GGA SCAN) data for a PBEsol-optimized structure of CaCu2Se, as listed in Alexandria.

abc: 3.850 3.944 9.292
angles: 90.00 90.00 90.00
Space group Immm (No. 71)
Symmetry-distinct sites (fractional):
Ca 0.000 0.000 0.000 x2
Cu 0.000 0.500 0.248 x4
Se 0.000 0.000 0.500 x2

Formation energy without anion corrections = -0.2484 eV/atom
Total magnetic moment = 0.000 μB/atom